No. 1
AsPt3Pb | PBEsol | relaxed

Lattice parameters (Å, degrees): 4.9517 4.9517 4.9517 90.00 90.00 90.00
Positions (direct):
Pt: 0.5000 0.0000 0.0000
Pt: 0.0000 0.5000 0.0000
Pt: 0.0000 0.0000 0.5000
Pb: 0.0000 0.0000 0.0000
As: 0.5000 0.5000 0.5000

Properties
N(E_F)	2.063	states/eV/f.u.
E_tot	-22.613	eV for the cell shown
formation energy from the elements	1477	meV per atom


No. 2
KBeSi2 | PBEsol | relaxed

Lattice parameters (Å, degrees): 2.7935 3.4913 7.2392 90.00 90.00 90.00
Positions (direct):
K: 0.5000 0.5000 0.5000
Si: 0.0000 0.0000 0.1632
Si: 0.0000 0.0000 0.8368
Be: 0.5000 0.5000 0.0000

Properties
raw formation energy	103.8	kJ/mol of formula units
N(E_F)	1.209	states/eV/f.u.
E_tot	-15.551	eV for the cell shown


No. 3
SbPtN3 | PBEsol | relaxed

Lattice parameters (Å, degrees): 3.9204 3.9204 3.9204 90.00 90.00 90.00
Site moments in Bohr magnetons follow the coordinates.
Positions (direct):
N: 0.0000 0.5000 0.0000  0.19
N: 0.5000 0.0000 0.0000  0.19
N: 0.0000 0.0000 0.5000  0.19
Sb: 0.5000 0.5000 0.5000  -0.02
Pt: 0.0000 0.0000 0.0000  0.10

Properties
raw formation energy	683.0	kJ/mol of formula units
N(E_F)	4.419	states/eV/f.u.
E_tot	-30.022	eV for the cell shown


No. 4
Li3Rh | PBEsol | relaxed

Lattice parameters (Å, degrees): 2.7115 2.7115 9.4831 81.78 81.78 60.00
Positions (direct):
Li: 0.2603 0.2603 0.2190
Li: 0.5000 0.5000 0.5000
Li: 0.7397 0.7397 0.7810
Rh: 0.0000 0.0000 0.0000

Properties
N(E_F)	2.934	states/eV/f.u.
E_tot	-14.210	eV for the cell shown
formation energy from the elements	-43	meV per atom


No. 5
AsC3 | PBEsol | relaxed

Lattice parameters (Å, degrees): 2.4064 3.6896 7.1124 91.66 90.00 109.03
Positions (direct):
C: 0.6950 0.3900 0.5000
C: 0.3050 0.6100 0.5000
C: 0.5000 0.0000 0.5000
As: 0.0000 0.0000 0.0000

Properties
offset from the most stable computed form	0.000	eV/atom
N(E_F)	1.342	states/eV/f.u.
E_tot	-30.387	eV for the cell shown
formation energy from the elements	913	meV per atom


No. 6
EuIn3 | PBEsol | relaxed

Lattice parameters (Å, degrees): 5.2005 6.6592 6.6592 120.00 90.00 90.00
Site moments in Bohr magnetons follow the coordinates.
Positions (direct):
Eu: 0.2500 0.6667 0.3333  6.76
Eu: 0.7500 0.3333 0.6667  6.76
In: 0.2500 0.6809 0.8404  0.00
In: 0.2500 0.1596 0.8404  0.00
In: 0.2500 0.1596 0.3191  0.00
In: 0.7500 0.8404 0.1596  0.00
In: 0.7500 0.8404 0.6809  0.00
In: 0.7500 0.3191 0.1596  0.00

Properties
N(E_F)	7.943	states/eV/f.u.
E_tot	-42.588	eV for the cell shown
formation energy from the elements	-445	meV per atom


No. 7
YZn2 | PBEsol | relaxed

Lattice parameters (Å, degrees): 5.4510 5.4510 8.4997 90.00 90.00 120.00
Positions (direct):
Zn: 0.1679 0.3358 0.7500
Zn: 0.3358 0.1679 0.2500
Zn: 0.8321 0.1679 0.2500
Zn: 0.6642 0.8321 0.7500
Zn: 0.8321 0.6642 0.2500
Zn: 0.0000 0.0000 0.5000
Zn: 0.1679 0.8321 0.7500
Zn: 0.0000 0.0000 0.0000
Y: 0.6667 0.3333 0.9421
Y: 0.3333 0.6667 0.0579
Y: 0.3333 0.6667 0.4421
Y: 0.6667 0.3333 0.5579

Properties
N(E_F)	1.977	states/eV/f.u.
E_tot	-44.253	eV for the cell shown
formation energy from the elements	-359	meV per atom


No. 8
Li2IrRh | PBEsol | relaxed

Lattice parameters (Å, degrees): 2.6683 4.3845 4.4811 90.00 90.00 90.00
Positions (direct):
Li: 0.5000 0.0000 0.5000
Li: 0.0000 0.0000 0.0000
Rh: 0.5000 0.5000 0.0000
Ir: 0.0000 0.5000 0.5000

Properties
offset from the most stable computed form	0.031	eV/atom
N(E_F)	2.959	states/eV/f.u.
E_tot	-22.433	eV for the cell shown
formation energy from the elements	-134	meV per atom


No. 9
Na3MnIr | PBEsol | relaxed

Lattice parameters (Å, degrees): 5.1293 5.1293 5.1293 90.00 90.00 90.00
Site moments in Bohr magnetons follow the coordinates.
Positions (direct):
Mn: 0.0000 0.0000 0.0000  4.00
Na: 0.5000 0.0000 0.0000  -0.01
Na: 0.0000 0.5000 0.0000  -0.01
Na: 0.0000 0.0000 0.5000  -0.01
Ir: 0.5000 0.5000 0.5000  1.21

Properties
N(E_F)	4.823	states/eV/f.u.
E_tot	-14.912	eV for the cell shown
formation energy from the elements	1774	meV per atom


No. 10
MgAlHg2 | PBEsol | relaxed

Lattice parameters (Å, degrees): 3.3214 3.3214 8.8000 79.12 79.12 60.00
Positions (direct):
Hg: 0.2525 0.2525 0.2425
Hg: 0.7475 0.7475 0.7575
Mg: 0.5000 0.5000 0.5000
Al: 0.0000 0.0000 0.0000

Properties
N(E_F)	1.310	states/eV/f.u.
E_tot	-7.341	eV for the cell shown
formation energy from the elements	-100	meV per atom


No. 11
Sr2ZnTe | PBEsol | relaxed

Lattice parameters (Å, degrees): 5.5708 5.5708 5.5708 60.00 60.00 60.00
Positions (direct):
Te: 0.0000 0.0000 0.0000
Sr: 0.7500 0.7500 0.7500
Sr: 0.2500 0.2500 0.2500
Zn: 0.5000 0.5000 0.5000

Properties
raw formation energy	-245.3	kJ/mol of formula units
offset from the most stable computed form	0.119	eV/atom
N(E_F)	4.142	states/eV/f.u.
E_tot	-11.331	eV for the cell shown


No. 12
Zn2WSe | PBEsol | relaxed

Lattice parameters (Å, degrees): 2.9195 4.3194 4.9781 90.00 90.00 91.89
Positions (direct):
Zn: 0.7574 0.7422 0.0000
Zn: 0.2426 0.2578 0.0000
Se: 0.0000 0.0000 0.5000
W: 0.5000 0.5000 0.5000

Properties
raw formation energy	183.5	kJ/mol of formula units
N(E_F)	2.476	states/eV/f.u.
E_tot	-18.919	eV for the cell shown


No. 13
GaW3O | PBEsol | relaxed

Lattice parameters (Å, degrees): 4.0882 4.0882 4.0882 90.00 90.00 90.00
Positions (direct):
O: 0.0000 0.0000 0.0000
W: 0.0000 0.0000 0.5000
W: 0.0000 0.5000 0.0000
W: 0.5000 0.0000 0.0000
Ga: 0.5000 0.5000 0.5000

Properties
raw formation energy	41.1	kJ/mol of formula units
N(E_F)	1.784	states/eV/f.u.
E_tot	-49.586	eV for the cell shown


No. 14
CaLaTiCrO6 | PBEsol | relaxed

Lattice parameters (Å, degrees): 5.4105 5.4439 7.6574 90.00 90.02 90.00
Site moments in Bohr magnetons follow the coordinates.
Positions (direct):
Cr: 0.9996 0.2489 0.9995  2.60
Cr: 0.4996 0.7511 0.4995  2.60
Ca: 0.5081 0.2889 0.7494  0.01
Ca: 0.0081 0.7111 0.2494  0.01
O: 0.5752 0.7619 0.2497  0.01
O: 0.7811 0.5319 0.5351  0.01
O: 0.2132 0.9627 0.0388  0.01
O: 0.2125 0.9645 0.4602  0.01
O: 0.2811 0.4681 0.0351  0.01
O: 0.7132 0.0373 0.5388  0.01
O: 0.7810 0.5310 0.9656  0.01
O: 0.2810 0.4690 0.4656  0.01
O: 0.9347 0.2661 0.2502  0.01
O: 0.0752 0.2381 0.7497  0.01
O: 0.7125 0.0355 0.9602  0.01
O: 0.4347 0.7339 0.7502  0.01
La: 0.4947 0.2219 0.2505  0.03
La: 0.9947 0.7781 0.7505  0.03
Ti: 0.9999 0.2506 0.5010  0.11
Ti: 0.4999 0.7494 0.0010  0.11

Properties
raw formation energy	-2903.3	kJ/mol of formula units
E_tot	-175.261	eV for the cell shown


No. 15
Rb2P2Pt | PBEsol | relaxed

Lattice parameters (Å, degrees): 6.0518 6.4326 7.8606 65.85 90.00 90.00
Positions (direct):
P: 0.7500 0.2749 0.7903
P: 0.7500 0.9348 0.7903
P: 0.2500 0.7251 0.2097
P: 0.2500 0.0652 0.2097
Pt: 0.0000 0.0000 0.0000
Pt: 0.5000 0.0000 0.0000
Rb: 0.7500 0.4213 0.1574
Rb: 0.7500 0.7890 0.4220
Rb: 0.2500 0.2110 0.5780
Rb: 0.2500 0.5787 0.8426

Properties
E_tot	-46.234	eV for the cell shown
formation energy from the elements	-504	meV per atom


No. 16
Y2CuGe6 | PBEsol | relaxed

Lattice parameters (Å, degrees): 3.9829 4.0404 10.7409 90.00 100.68 90.00
Positions (direct):
Ge: 0.0987 0.5000 0.1974
Ge: 0.8854 0.5000 0.7707
Ge: 0.4582 0.5000 0.9164
Ge: 0.5994 0.0000 0.1989
Ge: 0.7160 0.0000 0.4321
Ge: 0.2155 0.5000 0.4310
Y: 0.3329 0.0000 0.6658
Y: 0.9963 0.0000 0.9925
Cu: 0.7766 0.5000 0.5531

Properties
N(E_F)	2.132	states/eV/f.u.
E_tot	-52.037	eV for the cell shown
formation energy from the elements	-492	meV per atom


No. 17
Mn2Se3 | PBEsol | relaxed

Lattice parameters (Å, degrees): 3.5706 3.5706 8.8994 90.00 90.00 120.00
Site moments in Bohr magnetons follow the coordinates.
Positions (direct):
Se: 0.6667 0.3333 0.6668  -0.06
Se: 0.3333 0.6667 0.3332  -0.06
Se: 0.0000 0.0000 0.0000  0.00
Mn: 0.6667 0.3333 0.1828  3.65
Mn: 0.3333 0.6667 0.8172  3.65

Properties
raw formation energy	-158.7	kJ/mol of formula units
N(E_F)	1.911	states/eV/f.u.
E_tot	-32.718	eV for the cell shown


No. 18
RbCdTe2N | PBEsol | relaxed

Lattice parameters (Å, degrees): 4.0260 6.1124 6.1124 90.00 90.00 90.00
Site moments in Bohr magnetons follow the coordinates.
Positions (direct):
Te: 0.0000 0.0000 0.5000  0.14
Te: 0.0000 0.5000 0.0000  0.14
N: 0.5000 0.0000 0.0000  1.01
Cd: 0.0000 0.0000 0.0000  0.04
Rb: 0.5000 0.5000 0.5000  0.00

Properties
raw formation energy	267.2	kJ/mol of formula units
N(E_F)	4.569	states/eV/f.u.
E_tot	-15.031	eV for the cell shown


No. 19
YWSe2 | PBEsol | relaxed

Lattice parameters (Å, degrees): 3.3845 3.3845 8.9257 79.07 79.07 60.00
Positions (direct):
W: 0.4918 0.4918 0.5247
Y: 0.2507 0.2507 0.2479
Se: 0.7643 0.7643 0.7071
Se: 0.9932 0.9932 0.0203

Properties
raw formation energy	-89.7	kJ/mol of formula units
offset from the most stable computed form	0.287	eV/atom
N(E_F)	5.649	states/eV/f.u.
E_tot	-29.260	eV for the cell shown


No. 20
BaSr2Ag | PBEsol | relaxed

Lattice parameters (Å, degrees): 4.4022 4.4022 11.2265 78.69 78.69 60.00
Positions (direct):
Ag: 0.5000 0.5000 0.5000
Sr: 0.2228 0.2228 0.3316
Sr: 0.7772 0.7772 0.6684
Ba: 0.0000 0.0000 0.0000

Properties
offset from the most stable computed form	0.051	eV/atom
N(E_F)	4.331	states/eV/f.u.
E_tot	-9.348	eV for the cell shown
formation energy from the elements	-52	meV per atom